# TlGaSnPb (PBE-GGA, optimized geometry)
# energy above the lowest structure with this stoichiometry: 0.000 eV/atom
# E_form: 0.049 eV/atom
data_TlGaSnPb
_cell_length_a 4.7706
_cell_length_b 4.7834
_cell_length_c 9.6938
_cell_angle_alpha 90.00
_cell_angle_beta 90.00
_cell_angle_gamma 90.00
_space_group_name_H-M_alt 'C m m 2'
_space_group_IT_number 35
loop_
_space_group_symop_operation_xyz
'x,y,z'
'-x,-y,z'
'-x,y,z'
'x,-y,z'
'x+1/2,y+1/2,z'
'-x+1/2,-y+1/2,z'
'-x+1/2,y+1/2,z'
'x+1/2,-y+1/2,z'
loop_
_atom_site_label
_atom_site_type_symbol
_atom_site_fract_x
_atom_site_fract_y
_atom_site_fract_z
Tl1 Tl 0.0000 0.0000 0.0000
Ga1 Ga 0.0000 0.5000 0.2412
Sn1 Sn 0.0000 0.0000 0.4569
Pb1 Pb 0.0000 0.5000 0.7210

***

# LaPm7Tm2 (PBE-GGA, optimized geometry)
# energy above the lowest structure with this stoichiometry: 0.000 eV/atom
# E_form: 0.186 eV/atom
data_LaPm7Tm2
_cell_length_a 5.5469
_cell_length_b 7.8011
_cell_length_c 16.2577
_cell_angle_alpha 90.00
_cell_angle_beta 90.00
_cell_angle_gamma 90.00
_space_group_name_H-M_alt 'I m m m'
_space_group_IT_number 71
_space_group_name_Hall '-I 2 2'
loop_
_atom_site_label
_atom_site_type_symbol
_atom_site_fract_x
_atom_site_fract_y
_atom_site_fract_z
La1 La 0.0000 0.0000 0.0000
Pm1 Pm 0.0000 0.0000 0.5000
Pm2 Pm 0.0000 0.3007 0.3693
Pm3 Pm 0.0000 0.5000 0.1580
Tm1 Tm 0.0000 0.0000 0.2141

***

# Ca2DyMg9 (PBE-GGA, optimized geometry)
# E_form: -0.044 eV/atom
data_Ca2DyMg9
_cell_length_a 6.1142
_cell_length_b 6.1142
_cell_length_c 29.6067
_cell_angle_alpha 90.00
_cell_angle_beta 90.00
_cell_angle_gamma 120.00
_space_group_name_H-M_alt 'R -3 m'
_space_group_IT_number 166
_space_group_name_Hall '-R 3 2"'
loop_
_atom_site_label
_atom_site_type_symbol
_atom_site_fract_x
_atom_site_fract_y
_atom_site_fract_z
Ca1 Ca 0.0000 0.0000 0.1416
Dy1 Dy 0.0000 0.0000 0.0000
Mg1 Mg 0.0000 0.0000 0.3336
Mg2 Mg 0.0000 0.0000 0.5000
Mg3 Mg 0.0024 0.5012 0.9179

***

VASP calculation (PBE-GGA) on CsLiPr2I8 after structural relaxation.

Cell and atoms, written as CIF:
```
data_CsLiPr2I8
_cell_length_a 8.0368
_cell_length_b 8.0368
_cell_length_c 9.6983
_cell_angle_alpha 90.00
_cell_angle_beta 90.00
_cell_angle_gamma 120.00
_space_group_name_H-M_alt 'P -3'
_space_group_IT_number 147
loop_
_space_group_symop_operation_xyz
'x,y,z'
'-x,-y,-z'
'-y,x-y,z'
'y,-x+y,-z'
'-x+y,-x,z'
'x-y,x,-z'
loop_
_atom_site_label
_atom_site_type_symbol
_atom_site_fract_x
_atom_site_fract_y
_atom_site_fract_z
Cs1 Cs 0.0000 0.0000 0.0000
Li1 Li 0.0000 0.0000 0.5000
Pr1 Pr 0.3333 0.6667 0.4059
I1 I 0.0683 0.3555 0.6548
I2 I 0.3333 0.6667 0.0899
```

***

# Nd2EuAg (PBE-GGA, optimized geometry)
# energy above the lowest structure with this stoichiometry: 0.000 eV/atom
# E_form: -0.070 eV/atom
data_Nd2EuAg
_cell_length_a 3.7677
_cell_length_b 3.7677
_cell_length_c 9.1169
_cell_angle_alpha 90.00
_cell_angle_beta 90.00
_cell_angle_gamma 90.00
_space_group_name_H-M_alt 'P 4/m m m'
_space_group_IT_number 123
_space_group_name_Hall '-P 4 2'
loop_
_atom_site_label
_atom_site_type_symbol
_atom_site_fract_x
_atom_site_fract_y
_atom_site_fract_z
Nd1 Nd 0.0000 0.0000 0.2012
Eu1 Eu 0.5000 0.5000 0.5000
Ag1 Ag 0.5000 0.5000 0.0000

***

# PaHgAu2 (PBE-GGA, optimized geometry)
# energy above the lowest structure with this stoichiometry: 0.119 eV/atom
# E_form: -0.184 eV/atom
data_PaHgAu2
_cell_length_a 3.3537
_cell_length_b 3.3537
_cell_length_c 7.7035
_cell_angle_alpha 90.00
_cell_angle_beta 90.00
_cell_angle_gamma 90.00
_space_group_name_H-M_alt 'P 4/m m m'
_space_group_IT_number 123
_space_group_name_Hall '-P 4 2'
loop_
_atom_site_label
_atom_site_type_symbol
_atom_site_fract_x
_atom_site_fract_y
_atom_site_fract_z
Pa1 Pa 0.0000 0.0000 0.0000
Hg1 Hg 0.0000 0.0000 0.5000
Au1 Au 0.5000 0.5000 0.2538

***

# InGa3Ge (PBE-GGA, optimized geometry)
# energy above the lowest structure with this stoichiometry: 0.000 eV/atom
# E_form: 0.065 eV/atom
data_InGa3Ge
_cell_length_a 8.6406
_cell_length_b 6.2549
_cell_length_c 8.3236
_cell_angle_alpha 90.00
_cell_angle_beta 107.68
_cell_angle_gamma 90.00
_space_group_name_H-M_alt 'P 1 21/c 1'
_space_group_IT_number 14
loop_
_space_group_symop_operation_xyz
'x,y,z'
'-x,-y,-z'
'-x,y+1/2,-z+1/2'
'x,-y+1/2,z+1/2'
loop_
_atom_site_label
_atom_site_type_symbol
_atom_site_fract_x
_atom_site_fract_y
_atom_site_fract_z
In1 In 0.0922 0.0810 0.1930
Ga1 Ga 0.1436 0.5951 0.0755
Ga2 Ga 0.2988 0.6359 0.4114
Ga3 Ga 0.4887 0.6212 0.1740
Ge1 Ge 0.3369 0.2405 0.5249

***

# PrAl6Pd2 (PBE-GGA, optimized geometry)
# E_form: -0.223 eV/atom
data_PrAl6Pd2
_cell_length_a 4.8764
_cell_length_b 4.8764
_cell_length_c 9.3626
_cell_angle_alpha 90.00
_cell_angle_beta 90.00
_cell_angle_gamma 120.00
_space_group_name_H-M_alt 'P -3 1 m'
_space_group_IT_number 162
_space_group_name_Hall '-P 3 2'
loop_
_atom_site_label
_atom_site_type_symbol
_atom_site_fract_x
_atom_site_fract_y
_atom_site_fract_z
Pr1 Pr 0.0000 0.0000 0.0000
Al1 Al 0.0000 0.3382 0.7148
Pd1 Pd 0.3333 0.6667 0.5000

***

# KAsW (PBE-GGA, optimized geometry)
# energy above the lowest structure with this stoichiometry: 0.000 eV/atom
# E_form: -0.147 eV/atom
data_KAsW
_cell_length_a 3.8597
_cell_length_b 3.8597
_cell_length_c 11.6453
_cell_angle_alpha 90.00
_cell_angle_beta 90.00
_cell_angle_gamma 90.00
_space_group_name_H-M_alt 'P 4/n m m'
_space_group_IT_number 129
loop_
_space_group_symop_operation_xyz
'x,y,z'
'-x,-y,-z'
'-y+1/2,x,z'
'y+1/2,-x,-z'
'-x+1/2,-y+1/2,z'
'x+1/2,y+1/2,-z'
'y,-x+1/2,z'
'-y,x+1/2,-z'
'x+1/2,-y,-z'
'-x+1/2,y,z'
'-y,-x,-z'
'y,x,z'
'-x,y+1/2,-z'
'x,-y+1/2,z'
'y+1/2,x+1/2,-z'
'-y+1/2,-x+1/2,z'
loop_
_atom_site_label
_atom_site_type_symbol
_atom_site_fract_x
_atom_site_fract_y
_atom_site_fract_z
K1 K 0.2500 0.2500 0.1881
As1 As 0.2500 0.2500 0.6540
W1 W 0.2500 0.7500 0.5000

***

# Li2Cd2Sn (PBE-GGA, optimized geometry)
# energy above the lowest structure with this stoichiometry: 0.084 eV/atom
# E_form: -0.154 eV/atom
data_Li2Cd2Sn
_cell_length_a 7.7266
_cell_length_b 7.7266
_cell_length_c 3.4285
_cell_angle_alpha 90.00
_cell_angle_beta 90.00
_cell_angle_gamma 90.00
_space_group_name_H-M_alt 'P 4/m b m'
_space_group_IT_number 127
_space_group_name_Hall '-P 4 2ab'
loop_
_atom_site_label
_atom_site_type_symbol
_atom_site_fract_x
_atom_site_fract_y
_atom_site_fract_z
Li1 Li 0.1446 0.3554 0.0000
Cd1 Cd 0.1476 0.6476 0.5000
Sn1 Sn 0.0000 0.0000 0.0000

***

# AgH2Rh (PBE-GGA, optimized geometry)
# energy above the lowest structure with this stoichiometry: 0.570 eV/atom
data_AgH2Rh
_cell_length_a 5.3829
_cell_length_b 5.3829
_cell_length_c 5.3829
_cell_angle_alpha 90.00
_cell_angle_beta 90.00
_cell_angle_gamma 90.00
_space_group_name_H-M_alt 'F m -3 m'
_space_group_IT_number 225
_space_group_name_Hall '-F 4 2 3'
loop_
_atom_site_label
_atom_site_type_symbol
_atom_site_fract_x
_atom_site_fract_y
_atom_site_fract_z
Ag1 Ag 0.0000 0.0000 0.0000
H1 H 0.2500 0.2500 0.2500
Rh1 Rh 0.0000 0.0000 0.5000

***

# SrGa9Rh2 (PBE-GGA, optimized geometry)
# energy above the lowest structure with this stoichiometry: 0.046 eV/atom
# E_form: -0.381 eV/atom
data_SrGa9Rh2
_cell_length_a 10.6284
_cell_length_b 10.6284
_cell_length_c 7.5861
_cell_angle_alpha 90.00
_cell_angle_beta 90.00
_cell_angle_gamma 90.00
_space_group_name_H-M_alt 'I 41/a m d'
_space_group_IT_number 141
loop_
_space_group_symop_operation_xyz
'x,y,z'
'-x,-y,-z'
'-y+1/4,x+3/4,z+1/4'
'y+1/4,-x+3/4,-z+1/4'
'-x+1/2,-y,z+1/2'
'x+1/2,y,-z+1/2'
'y+1/4,-x+1/4,z+3/4'
'-y+1/4,x+1/4,-z+3/4'
'x,-y,-z'
'-x,y,z'
'-y+1/4,-x+1/4,-z+3/4'
'y+1/4,x+1/4,z+3/4'
'-x+1/2,y,-z+1/2'
'x+1/2,-y,z+1/2'
'y+1/4,x+3/4,-z+1/4'
'-y+1/4,-x+3/4,z+1/4'
'x+1/2,y+1/2,z+1/2'
'-x+1/2,-y+1/2,-z+1/2'
'-y+3/4,x+1/4,z+3/4'
'y+3/4,-x+1/4,-z+3/4'
'-x,-y+1/2,z'
'x,y+1/2,-z'
'y+3/4,-x+3/4,z+1/4'
'-y+3/4,x+3/4,-z+1/4'
'x+1/2,-y+1/2,-z+1/2'
'-x+1/2,y+1/2,z+1/2'
'-y+3/4,-x+3/4,-z+1/4'
'y+3/4,x+3/4,z+1/4'
'-x,y+1/2,-z'
'x,-y+1/2,z'
'y+3/4,x+1/4,-z+3/4'
'-y+3/4,-x+1/4,z+3/4'
loop_
_atom_site_label
_atom_site_type_symbol
_atom_site_fract_x
_atom_site_fract_y
_atom_site_fract_z
Sr1 Sr 0.0000 0.2500 0.3750
Ga1 Ga 0.0000 0.2500 0.8750
Ga2 Ga 0.1213 0.0457 0.6874
Rh1 Rh 0.0000 0.0000 0.0000

***

no.,uncorrected energy (eV per atom)
1,-3.2270
2,-4.5265
3,-1.9570
4,-3.4348
5,-5.7348
6,-4.2723
7,-3.2227
8,-4.4030
9,-6.3807
10,-2.0862
11,-3.6491
12,-4.0165